DFT (PBE) results for KLa2RhO5 after structural relaxation.

Summary:
Symmetry: P4/mbm, No. 127
Density of states at the Fermi level, states/eV per atom: 0.550
ΔE_f (raw), eV per atom: -2.3051

Cell lengths 5.890, 6.997, 6.997 Å; angles 90.00, 90.00, 90.00 degrees
Each line ends with the local moment (μB).
Fractional coordinates of all 18 atoms:
O (0.751, 0.868, 0.368)  0.14
O (0.751, 0.132, 0.632)  0.14
O (0.249, 0.868, 0.368)  0.14
O (0.249, 0.132, 0.632)  0.14
O (0.751, 0.632, 0.868)  0.14
O (0.500, 0.000, 0.000)  0.07
O (0.249, 0.632, 0.868)  0.14
O (0.249, 0.368, 0.132)  0.14
O (0.500, 0.500, 0.500)  0.07
O (0.751, 0.368, 0.132)  0.14
La (0.500, 0.820, 0.680)  0.01
La (0.500, 0.320, 0.820)  0.01
La (0.500, 0.680, 0.180)  0.01
La (0.500, 0.180, 0.320)  0.01
K (0.000, 0.500, 0.500)  0.00
K (0.000, 0.000, 0.000)  0.00
Rh (0.000, 0.000, 0.500)  1.19
Rh (0.000, 0.500, 0.000)  1.19


DFT (PBE) results for TaAl3 after structural relaxation.

Summary:
Symmetry: Pmmm, No. 47
Calculated formation energy, eV per atom: -0.1733
Density of states at the Fermi level, states/eV per atom: 0.396

Cell lengths 3.011, 3.907, 5.594 Å; angles 90.00, 90.00, 90.00 degrees
Fractional coordinates of all 4 atoms:
Al (0.500, 0.500, 0.750)
Al (0.000, 0.000, 0.500)
Al (0.500, 0.500, 0.250)
Ta (0.000, 0.000, 0.000)


DFT (PBE) results for YCo3Sn5 after structural relaxation.

Summary:
Symmetry: C2/m, No. 12
Calculated formation energy, eV per atom: -0.1206
Density of states at the Fermi level, states/eV per atom: 0.469

Cell lengths 7.112, 7.112, 9.432 Å; angles 66.41, 66.41, 76.39 degrees
Fractional coordinates of all 18 atoms:
Sn (0.241, 0.241, 0.964)
Sn (0.759, 0.759, 0.036)
Sn (0.417, 0.417, 0.355)
Sn (0.583, 0.583, 0.645)
Sn (0.618, 0.063, 0.661)
Sn (0.298, 0.702, 0.000)
Sn (0.702, 0.298, 0.000)
Sn (0.382, 0.937, 0.339)
Sn (0.063, 0.618, 0.661)
Sn (0.937, 0.382, 0.339)
Co (0.000, 0.000, 0.000)
Co (0.643, 0.643, 0.347)
Co (0.000, 0.000, 0.500)
Co (0.693, 0.693, 0.820)
Co (0.307, 0.307, 0.180)
Co (0.357, 0.357, 0.653)
Y (0.095, 0.095, 0.697)
Y (0.905, 0.905, 0.303)